## AgPAu2 (PBE)

Data for crystalline AgPAu2 at its relaxed geometry.

Total magnetization in μB per atom: 0.00
Calculated total energy in eV per formula unit: -13.4
Theoretical density in Mg/m³: 12.41
N(E_F) in states/eV/f.u.: 2.72

abc: 4.654 4.654 4.654
angles: 60.00 60.00 60.00
Fractional coordinates of all 4 atoms:
1 Ag 0.000 0.000 0.000
2 P 0.250 0.250 0.250
3 Au 0.500 0.500 0.500
4 Au 0.750 0.750 0.750